# 1
Material: Li3CrNi4O8
Method: DFT, meta-GGA SCAN
State: PBEsol geometry

Cell and atoms, written as CIF:
```
data_Li3CrNi4O8
_chemical_formula_sum 'Li6 Cr2 Ni8 O16'
_symmetry_space_group_name_H-M 'C 1 2/m 1'
_symmetry_Int_Tables_number 12
_cell_length_a 9.964
_cell_length_b 5.744
_cell_length_c 5.734
_cell_angle_alpha 90.00
_cell_angle_beta 124.99
_cell_angle_gamma 90.00
loop_
_symmetry_equiv_pos_as_xyz
'x,y,z'
'-x,-y,-z'
'-x,y,-z'
'x,-y,z'
'x+1/2,y+1/2,z'
'-x+1/2,-y+1/2,-z'
'-x+1/2,y+1/2,-z'
'x+1/2,-y+1/2,z'
loop_
_atom_site_label
_atom_site_fract_x
_atom_site_fract_y
_atom_site_fract_z
Li1 0.000 0.000 0.000
Li2 0.250 0.250 0.000
Cr1 0.000 0.500 0.500
Ni1 0.000 0.000 0.500
Ni2 0.000 0.500 0.000
Ni3 0.250 0.250 0.500
O1 0.001 0.258 0.741
O2 0.235 0.500 0.720
O3 0.249 0.500 0.276
```

Results
The calculation puts the formation energy from raw total energies at -1.7851 eV per atom.

***

# 2
Material: Zr2TaMo
Method: DFT, meta-GGA SCAN
State: PBEsol geometry

Cell and atoms, written as CIF:
```
data_Zr2TaMo
_chemical_formula_sum 'Zr4 Ta2 Mo2'
_symmetry_space_group_name_H-M 'I 4/m m m'
_symmetry_Int_Tables_number 139
_symmetry_space_group_name_Hall '-I 4 2'
_cell_length_a 3.919
_cell_length_b 3.919
_cell_length_c 9.797
_cell_angle_alpha 90.00
_cell_angle_beta 90.00
_cell_angle_gamma 90.00
loop_
_atom_site_label
_atom_site_fract_x
_atom_site_fract_y
_atom_site_fract_z
Zr1 0.000 0.500 0.250
Ta1 0.000 0.000 0.000
Mo1 0.000 0.000 0.500
```

Results
The offset from the most stable computed form is 0.254 eV/atom. Its formation energy is 239 meV/atom.

***

# 3
Material: AlTeRh2
Method: DFT, meta-GGA SCAN
State: PBEsol geometry

Cell and atoms, written as CIF:
```
data_AlTeRh2
_chemical_formula_sum 'Al3 Te3 Rh6'
_symmetry_space_group_name_H-M 'R 3 m'
_symmetry_Int_Tables_number 160
_symmetry_space_group_name_Hall 'R 3 -2"'
_cell_length_a 3.1718
_cell_length_b 3.1718
_cell_length_c 23.8584
_cell_angle_alpha 90.00
_cell_angle_beta 90.00
_cell_angle_gamma 120.00
loop_
_atom_site_label
_atom_site_fract_x
_atom_site_fract_y
_atom_site_fract_z
Al1 0.0000 0.0000 0.0000
Te1 0.0000 0.0000 0.2301
Rh1 0.0000 0.0000 0.4883
Rh2 0.0000 0.0000 0.7330
```

Results
The offset from the most stable computed form is 0.458 eV/atom. The calculation puts the formation energy from raw total energies at -0.0632 eV per atom.

***

# 4
Material: CaZn2Os
Method: DFT, meta-GGA SCAN
State: PBEsol geometry

Cell and atoms, written as CIF:
```
data_CaZn2Os
_chemical_formula_sum 'Ca1 Zn2 Os1'
_symmetry_space_group_name_H-M 'P 4/m m m'
_symmetry_Int_Tables_number 123
_symmetry_space_group_name_Hall '-P 4 2'
_cell_length_a 4.184
_cell_length_b 4.184
_cell_length_c 3.733
_cell_angle_alpha 90.00
_cell_angle_beta 90.00
_cell_angle_gamma 90.00
loop_
_atom_site_label
_atom_site_fract_x
_atom_site_fract_y
_atom_site_fract_z
Ca1 0.000 0.000 0.000
Zn1 0.000 0.500 0.500
Os1 0.500 0.500 0.000
```

Results
Its formation energy is 290 meV/atom.

***

# 5
Material: CoNiCl2
Method: DFT, meta-GGA SCAN
State: PBEsol geometry

Cell and atoms, written as CIF:
```
data_CoNiCl2
_chemical_formula_sum 'Co1 Ni1 Cl2'
_symmetry_space_group_name_H-M 'P 1 2/m 1'
_symmetry_Int_Tables_number 10
_cell_length_a 3.250
_cell_length_b 3.437
_cell_length_c 5.542
_cell_angle_alpha 90.00
_cell_angle_beta 96.25
_cell_angle_gamma 90.00
loop_
_symmetry_equiv_pos_as_xyz
'x,y,z'
'-x,-y,-z'
'-x,y,-z'
'x,-y,z'
loop_
_atom_site_label
_atom_site_fract_x
_atom_site_fract_y
_atom_site_fract_z
Co1 0.000 0.000 0.000
Ni1 0.500 0.000 0.500
Cl1 0.251 0.500 0.248
```

Results
The calculation puts the formation energy from raw total energies at -0.0967 eV per atom.

***

# 6
Material: CrNi2
Method: DFT, meta-GGA SCAN
State: PBEsol geometry

Cell and atoms, written as CIF:
```
data_CrNi2
_chemical_formula_sum 'Cr1 Ni2'
_symmetry_space_group_name_H-M 'P -3 m 1'
_symmetry_Int_Tables_number 164
_symmetry_space_group_name_Hall '-P 3 2"'
_cell_length_a 2.4585
_cell_length_b 2.4585
_cell_length_c 6.0571
_cell_angle_alpha 90.00
_cell_angle_beta 90.00
_cell_angle_gamma 120.00
loop_
_atom_site_label
_atom_site_fract_x
_atom_site_fract_y
_atom_site_fract_z
Cr1 0.0000 0.0000 0.0000
Ni1 0.3333 0.6667 0.3316
```

Results
Its formation energy is 129 meV/atom.

***

# 7
Material: Zr2TlCd
Method: DFT, meta-GGA SCAN
State: PBEsol geometry

Cell and atoms, written as CIF:
```
data_Zr2TlCd
_chemical_formula_sum 'Zr2 Tl1 Cd1'
_symmetry_space_group_name_H-M 'P 1 m 1'
_symmetry_Int_Tables_number 6
_cell_length_a 3.164
_cell_length_b 5.115
_cell_length_c 5.237
_cell_angle_alpha 90.00
_cell_angle_beta 90.75
_cell_angle_gamma 90.00
loop_
_symmetry_equiv_pos_as_xyz
'x,y,z'
'x,-y,z'
loop_
_atom_site_label
_atom_site_fract_x
_atom_site_fract_y
_atom_site_fract_z
Zr1 0.000 0.000 0.000
Zr2 0.033 0.500 0.618
Tl1 0.512 0.000 0.498
Cd1 0.521 0.500 0.114
```

Results
Its formation energy is -186 meV/atom.

***

# 8
Material: KPbCl2
Method: DFT, meta-GGA SCAN
State: PBEsol geometry

Cell and atoms, written as CIF:
```
data_KPbCl2
_chemical_formula_sum 'K4 Pb4 Cl8'
_symmetry_space_group_name_H-M 'F m -3 m'
_symmetry_Int_Tables_number 225
_symmetry_space_group_name_Hall '-F 4 2 3'
_cell_length_a 7.470
_cell_length_b 7.470
_cell_length_c 7.470
_cell_angle_alpha 90.00
_cell_angle_beta 90.00
_cell_angle_gamma 90.00
loop_
_atom_site_label
_atom_site_fract_x
_atom_site_fract_y
_atom_site_fract_z
K1 0.000 0.000 0.000
Pb1 0.000 0.000 0.500
Cl1 0.250 0.250 0.250
```

Results
The offset from the most stable computed form is 0.301 eV/atom. The calculation puts the formation energy from raw total energies at -1.1171 eV per atom.

***

These records have D(E_F) values of 0.305 1.426 0.865 0.382 0.046 1.050 0.490 0.581 states/eV per atom, in the order they appear.
These records have theoretical density values of 5.380 10.139 8.637 9.176 5.088 8.871 9.782 5.054 Mg/m³, in the order they appear.
These records have energy values of -337.32 -323.82 -338.40 -107.41 -49.82 -50.34 -164.91 -418.14 eV per cell, in the order they appear.